# PmMn4O8

An optimized crystal structure of PmMn4O8 (PBE+U, Alexandria).

abc: 5.7733 6.1637 6.1660
angles: 103.85 117.36 103.24
Space group P-1 (No. 2)
One atom of each set of equivalent atoms:
Pm  0.0000  0.0000  0.0000 (multiplicity 1)
Mn  0.2504  0.4898  0.7550 (multiplicity 2)
Mn  0.2813  0.5568  0.2851 (multiplicity 2)
O  0.0033  0.3309  0.3168 (multiplicity 2)
O  0.0206  0.7167  0.1968 (multiplicity 2)
O  0.4645  0.3154  0.2901 (multiplicity 2)
O  0.4899  0.3048  0.8316 (multiplicity 2)

Results
- D(E_F): 4.51 states/eV/cell
- Calculated density: 4.703 g/cm3
- E: -7.537 eV per atom